# 1
CeGdCoAg | PBE | optimized geometry

Output
- Energy relative to the elements: -0.060 eV/atom
- Magnetization: 29.57 μB/cell
- Final energy: -0.55514 Ry/atom

Cell: 7.1013 7.1013 7.1013 Å, 90.00 90.00 90.00°
Closest atoms and distances in Å follow each position.
Space group F-43m (No. 216)
Unique sites:
Ce  0.0000  0.0000  0.0000 (multiplicity 4)  4 Co 3.07, 4 Ag 3.07
Gd  0.0000  0.0000  0.5000 (multiplicity 4)  4 Ag 3.07, 4 Co 3.07
Co  0.2500  0.2500  0.2500 (multiplicity 4)  4 Gd 3.07, 4 Ce 3.07
Ag  0.2500  0.2500  0.7500 (multiplicity 4)  4 Gd 3.07, 4 Ce 3.07

# 2
Ta2FeHPt | PBE | optimized geometry

Output
- Magnetization: 0.00 μB/cell
- Final energy: -0.62149 Ry/atom
- ΔE to the lowest computed polymorph: 0.1416 eV/atom

Cell: 4.0570 4.0570 3.9131 Å, 90.00 90.00 90.00°
Closest atoms and distances in Å follow each position.
Space group P4/mmm (No. 123)
Unique sites:
Ta  0.0000  0.5000  0.0000 (multiplicity 2)  2 H 2.03
Fe  0.0000  0.0000  0.5000 (multiplicity 1)  8 Ta 2.82, 4 Pt 2.87
H  0.5000  0.5000  0.0000 (multiplicity 1)  2 Pt 1.96, 4 Ta 2.03
Pt  0.5000  0.5000  0.5000 (multiplicity 1)  2 H 1.96

# 3
Ac5In2Pd | PBE | optimized geometry

Output
- Energy relative to the elements: -0.425 eV/atom
- Magnetization: 0.00 μB/cell
- Final energy: -0.31796 Ry/atom

Cell: 13.5806 10.1056 8.4959 Å, 90.00 90.00 90.00°
Closest atoms and distances in Å follow each position.
Space group Pnma (No. 62)
Unique sites:
Ac  0.0015  0.2500  0.0495 (multiplicity 4)  1 Pd 3.18, 4 In 3.45-3.50
Ac  0.0790  0.5395  0.3180 (multiplicity 8)  2 Pd 3.20-3.29
Ac  0.1984  0.2500  0.6262 (multiplicity 4)  1 Pd 3.09
Ac  0.2169  0.7500  0.6558 (multiplicity 4)  1 Pd 3.15, 2 In 3.50
In  0.1659  0.0061  0.9211 (multiplicity 8)  8 Ac 3.45-3.62
Pd  0.0095  0.2500  0.4235 (multiplicity 4)  7 Ac 3.09-3.29